This record from Alexandria via LeMat-Bulk describes a geometry-optimized La5SbPt2 structure. The functional is PBE.

DOS at the Fermi energy = 8.133 states/eV/f.u.
Raw formation energy = -0.946 eV/atom
Space group = I4/mcm (140)

Lattice parameters (Å, degrees): 8.281 8.281 9.073 117.15 117.15 90.00
Fractional positions:
1 Pt 0.361 0.861 0.000
2 Pt 0.639 0.139 0.000
3 Pt 0.139 0.361 0.000
4 Pt 0.861 0.639 0.000
5 La 0.203 0.020 0.723
6 La 0.703 0.203 0.723
7 La 0.500 0.500 0.000
8 La 0.297 0.797 0.277
9 La 0.020 0.520 0.723
10 La 0.000 0.000 0.000
11 La 0.980 0.480 0.277
12 La 0.480 0.297 0.277
13 La 0.797 0.980 0.277
14 La 0.520 0.703 0.723
15 Sb 0.750 0.750 0.500
16 Sb 0.250 0.250 0.500